Entry 1:
Entry from Alexandria: a relaxed Ti6SiC4 crystal (PBE).

Output
Raw formation energy in eV per atom: -0.82

```
22
Lattice="1.560 -5.157 0.000 1.560 5.157 0.000 0.000 0.000 16.228" Properties=species:S:1:pos:R:3 pbc="T T T"
Ti 0.000 0.000 0.000
Ti 0.000 0.000 8.114
Ti 1.560 3.660 12.171
Ti 1.560 2.332 1.268
Ti 1.560 2.332 6.846
Ti 1.560 0.377 10.540
Ti 1.560 0.377 13.802
Ti 1.560 -0.377 2.426
Ti 1.560 -0.377 5.688
Ti 1.560 -2.332 9.382
Ti 1.560 -2.332 14.960
Ti 1.560 -3.660 4.057
Si 1.560 3.509 4.057
Si 1.560 -3.509 12.171
C 1.560 4.211 10.097
C 1.560 4.211 14.245
C 1.560 1.430 8.768
C 1.560 1.430 15.574
C 1.560 -1.430 0.654
C 1.560 -1.430 7.460
C 1.560 -4.211 1.983
C 1.560 -4.211 6.131
```

Entry 2:
Entry from Alexandria: a relaxed ZnSb2TeN crystal (PBE).

Output
Distance to the lowest polymorph of the same formula in eV/atom: 0.790
Raw formation energy in eV per atom: 1.46

```
5
Lattice="5.238 0.000 0.000 0.000 5.238 0.000 0.000 0.000 5.404" Properties=species:S:1:pos:R:3 pbc="T T T"
Zn 0.000 0.000 0.000
Sb 0.000 2.619 0.000
Sb 2.619 0.000 0.000
Te 0.000 0.000 2.702
N 2.619 2.619 2.702
```

Entry 3:
Entry from Alexandria: a relaxed DyLuCdCu crystal (PBE).

Output
Formation energy in eV per atom: -0.24

```
4
Lattice="0.000 3.581 3.581 3.581 0.000 3.581 3.581 3.581 0.000" Properties=species:S:1:pos:R:3 pbc="T T T"
Dy 0.000 0.000 0.000
Lu 3.581 3.581 3.581
Cd 1.791 1.791 1.791
Cu 5.372 5.372 5.372
```

Entry 4:
Entry from Alexandria: a relaxed Pr8Te3P3O crystal (PBE).

Output
Raw formation energy in eV per atom: -1.50

```
15
Lattice="7.248 -4.177 0.000 7.248 4.177 0.000 -4.841 0.000 7.401" Properties=species:S:1:pos:R:3 pbc="T T T"
Pr -0.185 0.000 5.165
Pr 3.707 2.243 5.166
Pr 5.948 2.243 2.235
Pr 2.412 0.000 2.149
Pr 7.243 0.000 5.252
Pr 3.707 -2.243 5.166
Pr 5.948 -2.243 2.235
Pr 9.840 0.000 2.236
Te 0.000 0.000 0.000
Te 3.624 2.088 0.000
Te 3.624 -2.088 0.000
P 1.204 2.088 3.700
P 1.204 -2.088 3.700
P 4.828 0.000 3.700
O -2.420 0.000 3.700
```

Entry 5:
Entry from Alexandria: a relaxed BaNa2TcPt crystal (PBE).

Output
Formation energy in eV per atom: 1.75

```
5
Lattice="5.886 0.000 0.000 0.000 5.886 0.000 0.000 0.000 5.336" Properties=species:S:1:pos:R:3 pbc="T T T"
Ba 0.000 0.000 0.000
Na 0.000 2.943 0.000
Na 2.943 0.000 0.000
Tc 0.000 0.000 2.668
Pt 2.943 2.943 2.668
```

Entry 6:
Entry from Alexandria: a relaxed CaGe3H crystal (PBE).

Output
Distance to the lowest polymorph of the same formula in eV/atom: 1.410

```
5
Lattice="5.553 0.000 0.000 0.000 5.553 0.000 0.000 0.000 5.553" Properties=species:S:1:pos:R:3 pbc="T T T"
Ca 0.000 0.000 0.000
Ge 0.000 0.000 2.777
Ge 0.000 2.777 0.000
Ge 2.777 0.000 0.000
H 2.777 2.777 2.777
```

Total moment / μB per cell: 0.0; 2.7; 0.0; 0.9; 2.1; 1.3